# Sr2PaCrSe6 PBE relaxed
# Calculated total energy   -114.8 eV/cell
data_Sr2PaCrSe6
_cell_length_a 7.055
_cell_length_b 7.463
_cell_length_c 12.319
_cell_angle_alpha 90.00
_cell_angle_beta 123.90
_cell_angle_gamma 90.00
_symmetry_space_group_name_H-M 'P 1 21/c 1'
_symmetry_Int_Tables_number 14
_symmetry_space_group_name_Hall '-P 2ybc'
loop_
_atom_site_label
_atom_site_type_symbol
_atom_site_fract_x
_atom_site_fract_y
_atom_site_fract_z
Sr1 Sr 0.218 0.083 0.245
Pa1 Pa 0.500 0.000 0.000
Cr1 Cr 0.000 0.000 0.500
Se1 Se 0.135 0.207 0.952
Se2 Se 0.250 0.687 0.952
Se3 Se 0.334 0.014 0.739

=====

# TbPaCrSe6 PBE relaxed
# Calculated total energy   -53.6 eV/cell
data_TbPaCrSe6
_cell_length_a 6.7781
_cell_length_b 6.7781
_cell_length_c 6.0746
_cell_angle_alpha 90.00
_cell_angle_beta 90.00
_cell_angle_gamma 120.00
_symmetry_space_group_name_H-M 'P 3 1 2'
_symmetry_Int_Tables_number 149
_symmetry_space_group_name_Hall 'P 3 2'
loop_
_atom_site_label
_atom_site_type_symbol
_atom_site_fract_x
_atom_site_fract_y
_atom_site_fract_z
Tb1 Tb 0.0000 0.0000 0.0000
Pa1 Pa 0.6667 0.3333 0.5000
Cr1 Cr 0.3333 0.6667 0.0000
Se1 Se 0.0252 0.3691 0.2462